Compound: OsPtBr
Source: the Alexandria database
Functional: GGA-PBE
Structure: relaxed Values from VASP.

```
&SYSTEM
  ibrav = 0, nat = 3, ntyp = 3
/
ATOMIC_SPECIES
Br 79.90 Br.upf
Os 190.23 Os.upf
Pt 195.08 Pt.upf
ATOMIC_POSITIONS angstrom
Br 0.038 -0.108 0.161
Os -0.771 -0.318 2.692
Pt -0.835 -2.858 3.475
CELL_PARAMETERS angstrom
-0.746 2.334 1.740
-2.098 -1.983 -0.835
1.277 -3.635 5.423
```

Results
- calculated volume (Å³ per atom) = 17.35
- E above lowest polymorph (eV per atom) = 0.034
- DFT total energy (Ry per atom) = -0.4024
- density of states at the Fermi level (states/eV per cell) = 3.595